TaCd2Os, relaxed, DFT GGA-PBEsol; excess energy over the best structure of this formula in the dataset = 222.7 meV per atom; crystal system = orthorhombic; symmetry = No. 71
1.0
-2.736 -0.706 -1.472
-2.046 -0.329 3.961
1.271 5.242 -1.430
Os Ta Cd
1 1 2
direct
0.500 0.000 0.000
0.000 0.500 0.000
0.240 0.240 0.481
0.760 0.760 0.519

Mg2InCu, relaxed, DFT GGA-PBEsol; crystal system = monoclinic; symmetry = No. 8; E_tot = -10.829 eV per cell
1.0
-3.105 -0.491 0.494
0.099 -3.774 -3.131
2.568 -1.282 4.623
Mg Cu In
2 1 1
direct
0.994 0.982 0.987
0.781 0.309 0.561
0.506 0.454 0.012
0.220 0.756 0.440

Co2P2O7, relaxed, DFT GGA-PBEsol; excess energy over the best structure of this formula in the dataset = 0.0 meV per atom; crystal system = monoclinic; symmetry = No. 14; E_form (uncorrected) = -1.617 eV per atom
1.0
-0.797 0.463 4.376
-5.135 0.063 -1.653
-0.423 -9.651 0.945
Co O P
4 14 4
direct
0.377 0.089 0.840
0.377 0.589 0.660
0.623 0.411 0.340
0.623 0.911 0.160
0.388 0.532 0.184
0.293 0.639 0.463
0.707 0.861 0.963
0.109 0.262 0.707
0.891 0.238 0.207
0.891 0.738 0.293
0.000 0.500 0.000
0.388 0.032 0.316
0.707 0.361 0.537
0.109 0.762 0.793
0.612 0.968 0.684
0.612 0.468 0.816
0.000 0.000 0.500
0.293 0.139 0.037
0.849 0.155 0.612
0.849 0.655 0.888
0.151 0.845 0.388
0.151 0.345 0.112

MgTaPO2, relaxed, DFT GGA-PBEsol; crystal system = tetragonal; symmetry = No. 123; E_form (uncorrected) = -1.718 eV per atom
1.0
3.877 0.000 0.000
0.000 3.877 0.000
0.000 0.000 5.156
O P Ta Mg
2 1 1 1
direct
0.000 0.500 0.000
0.500 0.000 0.000
0.000 0.000 0.500
0.000 0.000 0.000
0.500 0.500 0.500

LaHfTc2As, relaxed, DFT GGA-PBEsol; crystal system = tetragonal; symmetry = No. 123; E_tot = -33.995 eV per cell
1.0
-1.349 2.360 -3.768
2.959 -2.462 -2.601
-3.714 -3.532 -0.883
La As Hf Tc
1 1 1 2
direct
0.000 0.000 0.000
0.500 0.500 0.500
0.000 0.000 0.500
0.000 0.500 0.000
0.500 0.000 0.000

La2ZnTe, relaxed, DFT GGA-PBEsol; crystal system = tetragonal; symmetry = No. 123; E_form (uncorrected) = -0.824 eV per atom
1.0
-3.664 0.747 -1.167
-1.339 -2.758 2.439
-0.648 4.864 5.145
La Te Zn
2 1 1
direct
0.000 0.000 0.256
0.000 0.000 0.744
0.500 0.500 0.000
0.500 0.500 0.500

MgCdAs2, relaxed, DFT GGA-PBEsol; crystal system = tetragonal; symmetry = No. 123; E_tot = -13.295 eV per cell
1.0
2.876 0.000 0.000
0.000 5.237 0.000
0.000 0.000 5.237
Mg As Cd
1 2 1
direct
0.500 0.000 0.000
0.000 0.000 0.500
0.000 0.500 0.000
0.500 0.500 0.500

Cs3AlF6, relaxed, DFT GGA-PBEsol; crystal system = cubic; symmetry = No. 225; E_form (uncorrected) = -3.173 eV per atom
1.0
-5.027 -2.364 -3.392
0.547 -0.906 -6.422
0.260 -6.035 -2.424
Al Cs F
1 3 6
direct
0.500 0.500 0.500
0.750 0.750 0.750
0.250 0.250 0.250
0.000 0.000 0.000
0.698 0.302 0.302
0.302 0.698 0.698
0.302 0.698 0.302
0.698 0.698 0.302
0.302 0.302 0.698
0.698 0.302 0.698